# PBE+U NbWIO2, optimized geometry
# calculated volume	125.9	Å³/cell
# uncorrected energy	-29.93	eV for the cell shown
data_NbWIO2
_cell_length_a 3.9542
_cell_length_b 3.9542
_cell_length_c 8.0511
_cell_angle_alpha 90.00
_cell_angle_beta 90.00
_cell_angle_gamma 90.00
_space_group_name_H-M_alt 'P 4/m m m'
_space_group_IT_number 123
_space_group_name_Hall '-P 4 2'
loop_
_atom_site_label
_atom_site_fract_x
_atom_site_fract_y
_atom_site_fract_z
Nb1 0.0000 0.0000 0.0000
W1 0.5000 0.5000 0.5000
I1 0.5000 0.5000 0.0000
O1 0.0000 0.5000 0.5000